Entry 1:
Here is a relaxed Pr2CuSb4Pd3 crystal from the Alexandria database. Energies are from PBE.

Cell lengths 4.556, 4.556, 10.998 Å; angles 90.00, 90.00, 90.00 degrees
Element x y z (fractional)
Pd1 0.500 0.000 0.865
Pr1 0.500 0.000 0.265
Pd2 0.000 0.500 0.135
Pd3 0.000 0.000 0.500
Pr2 0.000 0.500 0.735
Sb1 0.500 0.500 0.000
Cu1 0.500 0.500 0.500
Sb2 0.000 0.000 0.000
Sb3 0.000 0.500 0.373
Sb4 0.500 0.000 0.627

The space group is P-4m2. The value obtained for the calculated total energy is -5.308 eV per atom. The value obtained for the formation energy from raw total energies is -0.736 eV per atom. As for the density of states at the Fermi level: 2.881 states/eV/cell.

Entry 2:
Here is a relaxed Pr2CuSb3Pd4 crystal from the Alexandria database. Energies are from PBE.

Cell lengths 4.540, 4.540, 10.542 Å; angles 90.00, 90.00, 90.00 degrees
Element x y z (fractional)
Pd1 0.000 0.500 0.382
Pd2 0.000 0.000 0.000
Sb1 0.500 0.000 0.863
Cu1 0.500 0.500 0.500
Pr1 0.000 0.500 0.750
Pd3 0.500 0.500 0.000
Sb2 0.000 0.500 0.137
Sb3 0.000 0.000 0.500
Pr2 0.500 0.000 0.250
Pd4 0.500 0.000 0.618

The space group is P-4m2. The value obtained for the calculated total energy is -5.459 eV per atom. The value obtained for the formation energy from raw total energies is -0.779 eV per atom. As for the density of states at the Fermi level: 4.176 states/eV/cell.

Entry 3:
Here is a relaxed PrCuSb2Pd4 crystal from the Alexandria database. Energies are from PBE.

Cell lengths 4.522, 4.522, 9.101 Å; angles 75.61, 75.61, 60.00 degrees
Element x y z (fractional)
Sb1 0.757 0.757 0.729
Pd1 0.402 0.402 0.795
Cu1 0.500 0.500 0.500
Pd2 0.138 0.138 0.586
Sb2 0.243 0.243 0.271
Pr1 0.000 0.000 0.000
Pd3 0.598 0.598 0.205
Pd4 0.862 0.862 0.414

The space group is R-3m. The value obtained for the calculated total energy is -5.291 eV per atom. The value obtained for the formation energy from raw total energies is -0.555 eV per atom. As for the density of states at the Fermi level: 3.767 states/eV/cell.

Entry 4:
Here is a relaxed Pr2Cu2SbPd5 crystal from the Alexandria database. Energies are from PBE.

Cell lengths 3.941, 9.726, 9.726 Å; angles 90.00, 90.00, 90.00 degrees
Element x y z (fractional)
Pd1 0.500 0.500 0.000
Cu1 0.000 0.382 0.118
Pd2 0.500 0.789 0.933
Pr1 0.000 0.823 0.677
Sb1 0.000 0.000 0.000
Pr2 0.000 0.323 0.823
Pd3 0.500 0.000 0.500
Cu2 0.000 0.882 0.382
Sb2 0.000 0.500 0.500
Pr3 0.000 0.177 0.323
Pd4 0.500 0.289 0.567
Pd5 0.500 0.567 0.711
Cu3 0.000 0.118 0.618
Pd6 0.500 0.067 0.789
Pd7 0.500 0.433 0.289
Pd8 0.500 0.711 0.433
Pd9 0.500 0.933 0.211
Pr4 0.000 0.677 0.177
Pd10 0.500 0.211 0.067
Cu4 0.000 0.618 0.882

The space group is P4/mbm. The value obtained for the calculated total energy is -5.411 eV per atom. The value obtained for the formation energy from raw total energies is -0.628 eV per atom. As for the density of states at the Fermi level: 9.429 states/eV/cell.

Entry 5:
Here is a relaxed Pr2ScCuPd6 crystal from the Alexandria database. Energies are from PBE.

Cell lengths 5.691, 8.727, 8.733 Å; angles 38.05, 70.91, 89.92 degrees
Element x y z (fractional)
Pd1 0.253 0.245 0.493
Pd2 0.747 0.253 0.010
Pr1 0.795 0.205 0.410
Sc1 0.000 0.000 0.000
Pd3 0.755 0.747 0.991
Cu1 0.500 0.500 0.000
Pd4 0.253 0.747 0.990
Pd5 0.245 0.253 0.009
Pr2 0.205 0.795 0.590
Pd6 0.747 0.755 0.507

The space group is C2/m. The value obtained for the calculated total energy is -5.610 eV per atom. As for the density of states at the Fermi level: 5.029 states/eV/cell. Its energy of formation from the pure elements is -496 meV/atom.

Entry 6:
Here is a relaxed PrCuSi2Pd crystal from the Alexandria database. Energies are from PBE.

Cell lengths 4.178, 4.178, 5.831 Å; angles 110.99, 110.99, 90.00 degrees
Element x y z (fractional)
Pr1 0.000 0.000 0.000
Si1 0.620 0.620 0.239
Cu1 0.750 0.250 0.500
Si2 0.380 0.380 0.761
Pd1 0.250 0.750 0.500

The space group is I-4m2. The value obtained for the calculated total energy is -5.740 eV per atom. The value obtained for the formation energy from raw total energies is -0.757 eV per atom. As for the density of states at the Fermi level: 2.148 states/eV/cell.

Entry 7:
Here is a relaxed Pr2CuSi3Pd4 crystal from the Alexandria database. Energies are from PBE.

Cell lengths 4.330, 4.330, 9.780 Å; angles 90.00, 90.00, 90.00 degrees
Element x y z (fractional)
Pd1 0.000 0.000 0.000
Pd2 0.000 0.500 0.371
Si1 0.000 0.000 0.500
Si2 0.000 0.500 0.126
Pr1 0.000 0.500 0.742
Pr2 0.500 0.000 0.258
Pd3 0.500 0.500 0.000
Si3 0.500 0.000 0.874
Pd4 0.500 0.000 0.629
Cu1 0.500 0.500 0.500

The space group is P-4m2. The value obtained for the calculated total energy is -5.876 eV per atom. The value obtained for the formation energy from raw total energies is -0.807 eV per atom. As for the density of states at the Fermi level: 4.373 states/eV/cell.

Entry 8:
Here is a relaxed PrCuSi2Pd5 crystal from the Alexandria database. Energies are from PBE.

Cell lengths 4.710, 4.710, 7.038 Å; angles 90.00, 90.00, 90.00 degrees
Element x y z (fractional)
Pd1 0.500 0.000 0.216
Pd2 0.500 0.000 0.784
Si1 0.500 0.500 0.159
Pd3 0.000 0.500 0.784
Si2 0.500 0.500 0.841
Pr1 0.000 0.000 0.500
Pd4 0.000 0.500 0.216
Pd5 0.500 0.500 0.500
Cu1 0.000 0.000 0.000

The space group is P4/mmm. The value obtained for the calculated total energy is -5.556 eV per atom. The value obtained for the formation energy from raw total energies is -0.479 eV per atom. As for the density of states at the Fermi level: 3.213 states/eV/cell.

Entry 9:
Here is a relaxed Pr2CuSi4Pd3 crystal from the Alexandria database. Energies are from PBE.

Cell lengths 4.241, 4.241, 10.003 Å; angles 90.00, 90.00, 90.00 degrees
Element x y z (fractional)
Si1 0.500 0.500 0.000
Pd1 0.500 0.000 0.878
Pr1 0.000 0.500 0.749
Si2 0.500 0.000 0.630
Pr2 0.500 0.000 0.251
Si3 0.000 0.500 0.370
Cu1 0.500 0.500 0.500
Pd2 0.000 0.000 0.500
Si4 0.000 0.000 0.000
Pd3 0.000 0.500 0.122

The space group is P-4m2. The value obtained for the calculated total energy is -5.896 eV per atom. The value obtained for the formation energy from raw total energies is -0.803 eV per atom. As for the density of states at the Fermi level: 4.378 states/eV/cell.

Entry 10:
Here is a relaxed PrCuSnPd crystal from the Alexandria database. Energies are from PBE.

Cell lengths 4.881, 4.881, 4.881 Å; angles 60.00, 60.00, 60.00 degrees
Element x y z (fractional)
Cu1 0.250 0.250 0.250
Pr1 0.000 0.000 0.000
Pd1 0.750 0.750 0.750
Sn1 0.500 0.500 0.500

The space group is F-43m. The value obtained for the calculated total energy is -5.081 eV per atom. As for the density of states at the Fermi level: 2.458 states/eV/cell. Its energy of formation from the pure elements is -563 meV/atom.

Entry 11:
Here is a relaxed Pr2CuSn3Pd4 crystal from the Alexandria database. Energies are from PBE.

Cell lengths 4.593, 4.593, 10.407 Å; angles 90.00, 90.00, 90.00 degrees
Element x y z (fractional)
Pd1 0.000 0.500 0.379
Sn1 0.000 0.500 0.130
Pd2 0.500 0.500 0.000
Pd3 0.500 0.000 0.621
Pr1 0.000 0.500 0.742
Cu1 0.500 0.500 0.500
Sn2 0.500 0.000 0.870
Sn3 0.000 0.000 0.500
Pr2 0.500 0.000 0.258
Pd4 0.000 0.000 0.000

The space group is P-4m2. The value obtained for the calculated total energy is -5.328 eV per atom. As for the density of states at the Fermi level: 5.312 states/eV/cell. Its energy of formation from the pure elements is -685 meV/atom.

Entry 12:
Here is a relaxed PrCuSn2Pd4 crystal from the Alexandria database. Energies are from PBE.

Cell lengths 4.494, 4.494, 9.207 Å; angles 75.88, 75.88, 60.00 degrees
Element x y z (fractional)
Pr1 0.000 0.000 0.000
Sn1 0.761 0.761 0.717
Cu1 0.500 0.500 0.500
Pd1 0.599 0.599 0.204
Sn2 0.239 0.239 0.283
Pd2 0.401 0.401 0.796
Pd3 0.866 0.866 0.403
Pd4 0.134 0.134 0.597

The space group is R-3m. The value obtained for the calculated total energy is -5.280 eV per atom. As for the density of states at the Fermi level: 4.711 states/eV/cell. Its energy of formation from the pure elements is -573 meV/atom.